Computed, not measured: an optimized crystal structure of Li2CuAsO4 at the PBE level of DFT.

Unit cell a=5.6053 b=5.2430 c=12.8119 alpha=90.00 beta=91.49 gamma=90.00
Closest atoms and distances in Å follow each position.
Fractional positions:
Li  0.1540  0.1782  0.3798  4 O 2.00-2.07
Li  0.1540  0.3218  0.8798  4 O 2.00-2.07
Li  0.3373  0.6832  0.2498  4 O 1.97-2.09
Li  0.3373  0.8168  0.7498  4 O 1.97-2.09
Li  0.6627  0.1832  0.2502  4 O 1.97-2.09
Li  0.6627  0.3168  0.7502  4 O 1.97-2.09
Li  0.8460  0.6782  0.1202  4 O 2.00-2.07
Li  0.8460  0.8218  0.6202  4 O 2.00-2.07
Cu  0.4003  0.7237  0.5186  2 O 1.91-1.94
Cu  0.4003  0.7763  0.0186  2 O 1.91-1.94
Cu  0.5997  0.2237  0.9814  2 O 1.91-1.94
Cu  0.5997  0.2763  0.4814  2 O 1.91-1.94
As  0.1596  0.1943  0.1342  4 O 1.71-1.75
As  0.1596  0.3057  0.6342  4 O 1.71-1.75
As  0.8404  0.6943  0.3658  4 O 1.71-1.75
As  0.8404  0.8057  0.8658  4 O 1.71-1.75
O  0.1291  0.7019  0.8616  1 As 1.71
O  0.1291  0.7981  0.3616  1 As 1.71
O  0.1666  0.6388  0.6223  1 As 1.75, 1 Cu 1.94
O  0.1666  0.8612  0.1223  1 As 1.75, 1 Cu 1.94
O  0.2913  0.1724  0.5252  1 As 1.74, 1 Cu 1.91
O  0.2913  0.3276  0.0252  1 As 1.74, 1 Cu 1.91
O  0.3198  0.2100  0.7444  1 As 1.73
O  0.3198  0.2900  0.2444  1 As 1.73
O  0.6802  0.7100  0.7556  1 As 1.73
O  0.6802  0.7900  0.2556  1 As 1.73
O  0.7087  0.6724  0.9748  1 As 1.74, 1 Cu 1.91
O  0.7087  0.8276  0.4748  1 As 1.74, 1 Cu 1.91
O  0.8334  0.1388  0.8777  1 As 1.75, 1 Cu 1.94
O  0.8334  0.3612  0.3777  1 As 1.75, 1 Cu 1.94
O  0.8709  0.2019  0.6384  1 As 1.71
O  0.8709  0.2981  0.1384  1 As 1.71

Values from the calculation:
The uncorrected formation energy is -1.4844 eV per atom. Its space-group type is P2_1/c, No. 14. For the electronic total energy, the calculation gives -177.1 eV for the cell shown. The value obtained for the volume is 11.8 Å³ per atom. The calculation puts the distance to the lowest polymorph of the same formula at 0.0 meV per atom.